(1)
CaY | Alexandria via LeMat-Bulk | PBE-GGA | relaxed; total energy = -32.8 eV for the cell shown; N(E_F) = 1.8436 states/eV/atom
1.0
0.000 5.246 5.246
5.246 0.000 5.246
5.246 5.246 0.000
Ca Y
4 4
Direct
0.000 0.000 0.000
0.000 0.000 0.500
0.000 0.500 0.000
0.500 0.000 0.000
0.000 0.500 0.500
0.500 0.000 0.500
0.500 0.500 0.000
0.500 0.500 0.500

(2)
LiH2Rh | Alexandria via LeMat-Bulk | PBE-GGA | relaxed; total energy = -15.9 eV for the cell shown; N(E_F) = 0.0141 states/eV/atom
1.0
0.000 2.443 2.443
2.443 0.000 2.443
2.443 2.443 0.000
Li H Rh
1 2 1
Direct
0.000 0.000 0.000
0.250 0.250 0.250
0.750 0.750 0.750
0.500 0.500 0.500

(3)
TcMo2Cl | Alexandria via LeMat-Bulk | PBE-GGA | relaxed; N(E_F) = 0.8723 states/eV/atom; ΔE_f (raw) = 2.09 eV per formula unit
1.0
-1.456 2.251 4.550
1.456 -2.251 4.550
1.456 2.251 -4.550
Tc Mo Cl
1 2 1
Direct
0.000 0.000 0.000
0.456 0.456 0.000
0.743 0.243 0.500
0.233 0.733 0.500

(4)
RbSiP2 | Alexandria via LeMat-Bulk | PBE-GGA | relaxed; N(E_F) = 0.6171 states/eV/atom; ΔE_f (raw) = -0.28 eV per formula unit
1.0
-3.604 3.604 4.058
3.604 -3.604 4.058
3.604 3.604 -4.058
Rb Si P
2 2 4
Direct
0.000 0.000 0.000
0.750 0.250 0.500
0.250 0.750 0.500
0.500 0.500 0.000
0.244 0.625 0.119
0.375 0.494 0.619
0.506 0.125 0.881
0.875 0.756 0.381

(5)
CrTeW2 | Alexandria via LeMat-Bulk | PBE-GGA | relaxed; N(E_F) = 0.8192 states/eV/atom; ΔE_f (raw) = 2.58 eV per formula unit
1.0
3.105 0.000 0.000
0.000 4.064 0.000
0.000 0.000 5.383
Cr Te W
1 1 2
Direct
0.000 0.000 0.000
0.500 0.500 0.270
0.000 0.000 0.567
0.500 0.500 0.778

(6)
La2CdIn4 | Alexandria via LeMat-Bulk | PBE-GGA | relaxed; total energy = -23.3 eV for the cell shown; N(E_F) = 0.9490 states/eV/atom
1.0
0.000 5.353 6.084
3.176 0.000 6.084
3.176 5.353 0.000
La Cd In
2 1 4
Direct
0.132 0.132 0.868
0.868 0.868 0.132
0.500 0.500 0.500
0.000 0.000 0.500
0.250 0.250 0.250
0.500 0.500 0.000
0.750 0.750 0.750

| no. | ρ (Mg/m³) |
| --- | --- |
| 1 | 2.97 |
| 2 | 6.37 |
| 3 | 9.06 |
| 4 | 2.76 |
| 5 | 13.38 |
| 6 | 6.82 |